The following is a DFT calculation (GGA-PBE) of crystalline Tl2ReBiOs at its relaxed geometry.

Cell lengths 5.2538, 4.8416, 5.2538 Å; angles 90.00, 90.00, 90.00 degrees
Last column: magnetic moment on the atom in μB.
Fractional coordinates of all 5 atoms:
Bi 0.5000 0.5000 0.5000  -0.17
Os 0.0000 0.0000 0.0000  -0.07
Tl 0.0000 0.0000 0.5000  -0.02
Tl 0.5000 0.0000 0.0000  0.00
Re 0.0000 0.5000 0.0000  1.26

Properties
Energy above the lowest structure with this stoichiometry (kJ per mole of atoms): 0.0
Space-group type: P4/mmm, No. 123